# 1
# SrDy2Al7Ag2, optimized geometry, DFT PBE
# M_tot = 0.00 μB per atom
# E = -3.988 eV/atom
data_SrDy2Al7Ag2
_chemical_formula_sum 'Sr1 Dy2 Al7 Ag2'
_symmetry_space_group_name_H-M 'P 1'
_symmetry_Int_Tables_number 1
_symmetry_space_group_name_Hall 'P 1'
_cell_length_a 9.4289
_cell_length_b 9.4289
_cell_length_c 9.4289
_cell_angle_alpha 34.67
_cell_angle_beta 34.67
_cell_angle_gamma 34.67
loop_
_atom_site_label
_atom_site_type_symbol
_atom_site_fract_x
_atom_site_fract_y
_atom_site_fract_z
Al1 Al 0.4107 0.4107 0.9241
Al2 Al 0.5000 0.5000 0.5000
Al3 Al 0.4107 0.9241 0.4107
Dy1 Dy 0.8571 0.8571 0.8571
Ag1 Ag 0.6641 0.6641 0.6641
Sr1 Sr 0.0000 0.0000 0.0000
Al4 Al 0.9241 0.4107 0.4107
Al5 Al 0.5893 0.5893 0.0759
Dy2 Dy 0.1429 0.1429 0.1429
Ag2 Ag 0.3359 0.3359 0.3359
Al6 Al 0.0759 0.5893 0.5893
Al7 Al 0.5893 0.0759 0.5893

---

# 2
# Mo2C3, optimized geometry, DFT PBE
# M_tot = 0.00 μB per atom
# E = -9.213 eV/atom
data_Mo2C3
_chemical_formula_sum 'Mo8 C12'
_symmetry_space_group_name_H-M 'P 1'
_symmetry_Int_Tables_number 1
_symmetry_space_group_name_Hall 'P 1'
_cell_length_a 6.3845
_cell_length_b 6.3845
_cell_length_c 6.3845
_cell_angle_alpha 109.47
_cell_angle_beta 109.47
_cell_angle_gamma 109.47
loop_
_atom_site_label
_atom_site_type_symbol
_atom_site_fract_x
_atom_site_fract_y
_atom_site_fract_z
C1 C 0.2802 0.2500 0.5302
C2 C 0.4698 0.2500 0.7198
C3 C 0.7198 0.4698 0.2500
C4 C 0.5302 0.2802 0.2500
C5 C 0.7802 0.0302 0.7500
Mo1 Mo 0.1395 0.1395 0.1395
C6 C 0.7500 0.9698 0.2198
C7 C 0.2198 0.7500 0.9698
C8 C 0.7500 0.7802 0.0302
Mo2 Mo 0.5000 0.0000 0.8605
Mo3 Mo 0.5000 0.0000 0.3604
C9 C 0.0302 0.7500 0.7802
Mo4 Mo 0.0000 0.8605 0.5000
Mo5 Mo 0.0000 0.3604 0.5000
Mo6 Mo 0.6395 0.6395 0.6395
Mo7 Mo 0.8605 0.5000 0.0000
Mo8 Mo 0.3604 0.5000 0.0000
C10 C 0.9698 0.2198 0.7500
C11 C 0.2500 0.5302 0.2802
C12 C 0.2500 0.7198 0.4698

---

# 3
# BeTlCuPd, optimized geometry, DFT PBE
# Polymorph energy (0 for the lowest one) = 0.000 eV/atom
data_BeTlCuPd
_chemical_formula_sum 'Be1 Tl1 Cu1 Pd1'
_symmetry_space_group_name_H-M 'P 1'
_symmetry_Int_Tables_number 1
_symmetry_space_group_name_Hall 'P 1'
_cell_length_a 4.3739
_cell_length_b 4.3739
_cell_length_c 4.3739
_cell_angle_alpha 60.00
_cell_angle_beta 60.00
_cell_angle_gamma 60.00
loop_
_atom_site_label
_atom_site_type_symbol
_atom_site_fract_x
_atom_site_fract_y
_atom_site_fract_z
Cu1 Cu 0.7500 0.7500 0.7500
Pd1 Pd 0.5000 0.5000 0.5000
Be1 Be 0.2500 0.2500 0.2500
Tl1 Tl 0.0000 0.0000 0.0000

---

# 4
# Pa3Fe2Ge7, optimized geometry, DFT PBE
# M_tot = 0.00 μB per atom
# E = -6.922 eV/atom
data_Pa3Fe2Ge7
_chemical_formula_sum 'Pa3 Fe2 Ge7'
_symmetry_space_group_name_H-M 'P 1'
_symmetry_Int_Tables_number 1
_symmetry_space_group_name_Hall 'P 1'
_cell_length_a 4.1834
_cell_length_b 4.1503
_cell_length_c 12.6883
_cell_angle_alpha 90.00
_cell_angle_beta 98.41
_cell_angle_gamma 90.00
loop_
_atom_site_label
_atom_site_type_symbol
_atom_site_fract_x
_atom_site_fract_y
_atom_site_fract_z
Fe1 Fe 0.6049 0.5000 0.7598
Ge1 Ge 0.3974 0.0000 0.3244
Ge2 Ge 0.2726 0.5000 0.0576
Pa1 Pa 0.8002 0.0000 0.1348
Fe2 Fe 0.3951 0.5000 0.2402
Ge3 Ge 0.6026 0.0000 0.6756
Pa2 Pa 0.1998 0.0000 0.8652
Ge4 Ge 0.0000 0.0000 0.5000
Ge5 Ge 0.7274 0.5000 0.9424
Pa3 Pa 0.5000 0.5000 0.5000
Ge6 Ge 0.9254 0.5000 0.3248
Ge7 Ge 0.0746 0.5000 0.6752

---

# 5
# CsGeTe4Au3, optimized geometry, DFT PBE
# Polymorph energy (0 for the lowest one) = 0.000 eV/atom
data_CsGeTe4Au3
_chemical_formula_sum 'Cs2 Ge2 Te8 Au6'
_symmetry_space_group_name_H-M 'P 1'
_symmetry_Int_Tables_number 1
_symmetry_space_group_name_Hall 'P 1'
_cell_length_a 6.9990
_cell_length_b 8.2050
_cell_length_c 11.1197
_cell_angle_alpha 90.00
_cell_angle_beta 102.71
_cell_angle_gamma 90.00
loop_
_atom_site_label
_atom_site_type_symbol
_atom_site_fract_x
_atom_site_fract_y
_atom_site_fract_z
Au1 Au 0.4514 0.7500 0.7982
Au2 Au 0.6522 0.4366 0.4487
Te1 Te 0.8391 0.2500 0.0837
Cs1 Cs 0.2346 0.2500 0.8774
Te2 Te 0.9752 0.2500 0.5048
Cs2 Cs 0.7654 0.7500 0.1226
Te3 Te 0.6700 0.4885 0.7268
Au3 Au 0.3478 0.9366 0.5513
Te4 Te 0.3300 0.5115 0.2732
Au4 Au 0.3478 0.5634 0.5513
Te5 Te 0.6700 0.0115 0.7268
Te6 Te 0.0248 0.7500 0.4952
Ge1 Ge 0.1044 0.2500 0.2905
Te7 Te 0.1609 0.7500 0.9163
Au5 Au 0.5486 0.2500 0.2018
Au6 Au 0.6522 0.0634 0.4487
Ge2 Ge 0.8956 0.7500 0.7095
Te8 Te 0.3300 0.9885 0.2732

---

# 6
# HoTmMg2Au4, optimized geometry, DFT PBE
# M_tot = 0.00 μB per atom
# E = -3.940 eV/atom
data_HoTmMg2Au4
_chemical_formula_sum 'Ho1 Tm1 Mg2 Au4'
_symmetry_space_group_name_H-M 'P 1'
_symmetry_Int_Tables_number 1
_symmetry_space_group_name_Hall 'P 1'
_cell_length_a 4.8467
_cell_length_b 4.8467
_cell_length_c 6.8543
_cell_angle_alpha 90.00
_cell_angle_beta 90.00
_cell_angle_gamma 90.00
loop_
_atom_site_label
_atom_site_type_symbol
_atom_site_fract_x
_atom_site_fract_y
_atom_site_fract_z
Au1 Au 0.0000 0.5000 0.7503
Au2 Au 0.5000 0.0000 0.7503
Mg1 Mg 0.0000 0.0000 0.0000
Ho1 Ho 0.0000 0.0000 0.5000
Mg2 Mg 0.5000 0.5000 0.5000
Au3 Au 0.5000 0.0000 0.2497
Au4 Au 0.0000 0.5000 0.2497
Tm1 Tm 0.5000 0.5000 0.0000